NaZr3Pd (PBE, optimized geometry); SG = Pm-3m; VASP energy = -29.41 eV for the cell shown; energy of formation = 549 meV/atom
1.0
5.172 0.000 0.000
0.000 5.172 0.000
0.000 0.000 5.172
Na Zr Pd
1 3 1
Direct
0.000 0.000 0.000
0.000 0.500 0.500
0.500 0.000 0.500
0.500 0.500 0.000
0.500 0.500 0.500



Cs3Cd2InBr8 (PBE, optimized geometry); SG = P-3m1; VASP energy = -37.84 eV for the cell shown; formation energy without anion corrections = -1.238 eV/atom
1.0
8.313 0.000 0.000
-4.157 7.200 0.000
0.000 0.000 10.406
Cs Cd In Br
3 2 1 8
Direct
0.000 0.000 0.000
0.333 0.667 0.610
0.667 0.333 0.390
0.333 0.667 0.191
0.667 0.333 0.809
0.000 0.000 0.500
0.168 0.336 0.306
0.168 0.832 0.306
0.333 0.667 0.945
0.336 0.168 0.694
0.664 0.832 0.306
0.667 0.333 0.055
0.832 0.168 0.694
0.832 0.664 0.694



CsVHg2B (PBE, optimized geometry); SG = P4/mmm; VASP energy = -14.11 eV for the cell shown; energy of formation = 628 meV/atom
1.0
5.673 0.000 0.000
0.000 5.673 0.000
0.000 0.000 4.222
Cs V Hg B
1 1 2 1
Direct
0.000 0.000 0.000
0.500 0.500 0.500
0.000 0.500 0.500
0.500 0.000 0.500
0.500 0.500 0.000



ReRh (PBE, optimized geometry); SG = Cmcm; VASP energy = -39.51 eV for the cell shown; energy of formation = 23 meV/atom
1.0
1.371 -5.055 0.000
1.371 5.055 0.000
0.000 0.000 4.277
Re Rh
2 2
Direct
0.069 0.931 0.750
0.931 0.069 0.250
0.329 0.671 0.750
0.671 0.329 0.250



Q: Number 3 is which compound?
A: CsVHg2B